(1)
VASP calculation (GGA-PBE) on crystalline KZn2Ru at its relaxed geometry.

```
KZn2Ru
1.0
5.358 -0.001 0.000
2.249 4.863 0.000
-3.803 -2.431 2.886
K Ru Zn
1 1 2
direct
0.500 0.500 0.000 K
0.750 0.250 0.500 Ru
0.250 0.750 0.500 Zn
0.000 0.000 0.000 Zn
```

Total energy (eV for the cell shown): -9.83
Excess energy over the best structure of this formula in the dataset (meV per atom): 542.8
Formation energy from the elements (eV per atom): 0.772
Calculated density (g/cm3): 5.98
Density of states at the Fermi level (states/eV per cell): 1.63


(2)
VASP calculation (GGA-PBE) on crystalline KZn2Ru at its relaxed geometry.

```
KZn2Ru
1.0
2.612 0.000 0.000
0.000 5.691 0.000
0.000 0.000 5.226
Ru Zn K
1 2 1
direct
0.000 0.500 0.500 Ru
0.000 0.000 0.000 Zn
0.500 0.500 0.000 Zn
0.500 0.000 0.500 K
```

Total energy (eV for the cell shown): -9.81
Excess energy over the best structure of this formula in the dataset (meV per atom): 548.0
Formation energy from the elements (eV per atom): 0.778
Calculated density (g/cm3): 5.79
Density of states at the Fermi level (states/eV per cell): 2.48


(3)
VASP calculation (GGA-PBE) on crystalline KZn2Ru at its relaxed geometry.

```
KZn2Ru
1.0
5.250 0.000 0.000
0.000 5.250 0.000
2.625 2.625 8.350
K Zn Ru
2 4 2
direct
0.250 0.750 0.500 K
0.500 0.500 0.000 K
0.874 0.625 0.250 Zn
0.875 0.126 0.750 Zn
0.375 0.124 0.750 Zn
0.876 0.125 0.250 Zn
0.750 0.250 0.500 Ru
0.000 0.000 0.000 Ru
```

Total energy (eV for the cell shown): -21.15
Excess energy over the best structure of this formula in the dataset (meV per atom): 356.5
Formation energy from the elements (eV per atom): 0.586
Calculated density (g/cm3): 3.91
Density of states at the Fermi level (states/eV per cell): 7.42


(4)
VASP calculation (GGA-PBE) on crystalline KZn2Ru at its relaxed geometry.

```
KZn2Ru
1.0
6.259 -0.041 -0.003
2.974 5.508 0.003
-3.630 -4.400 2.578
Ru K Zn
1 1 2
direct
0.250 0.750 0.500 Ru
0.750 0.250 0.500 K
0.444 0.444 0.000 Zn
0.056 0.056 0.000 Zn
```

Total energy (eV for the cell shown): -10.60
Excess energy over the best structure of this formula in the dataset (meV per atom): 350.1
Formation energy from the elements (eV per atom): 0.580
Calculated density (g/cm3): 5.04
Density of states at the Fermi level (states/eV per cell): 3.57


(5)
VASP calculation (GGA-PBE) on crystalline KZn2Ru at its relaxed geometry.

```
KZn2Ru
1.0
-6.900 3.207 -0.393
2.304 -2.348 3.758
-0.178 2.383 1.603
K Ru Zn
1 1 2
direct
0.000 0.500 0.500 K
0.500 0.500 0.000 Ru
0.000 0.000 0.000 Zn
0.500 0.000 0.500 Zn
```

Total energy (eV for the cell shown): -10.76
Excess energy over the best structure of this formula in the dataset (meV per atom): 311.5
Formation energy from the elements (eV per atom): 0.541
Calculated density (g/cm3): 6.27
Density of states at the Fermi level (states/eV per cell): 1.53


(6)
VASP calculation (GGA-PBE) on crystalline KZn2Ru at its relaxed geometry.

```
KZn2Ru
1.0
4.606 0.009 -0.006
3.774 2.640 -0.006
0.592 0.187 6.907
Ru Zn K
1 2 1
direct
0.750 0.750 0.750 Ru
0.483 0.483 0.592 Zn
0.017 0.017 0.908 Zn
0.250 0.250 0.250 K
```

Total energy (eV for the cell shown): -11.51
Excess energy over the best structure of this formula in the dataset (meV per atom): 123.5
Formation energy from the elements (eV per atom): 0.353
Calculated density (g/cm3): 5.37
Density of states at the Fermi level (states/eV per cell): 2.62